[1]
This record from Alexandria via LeMat-Bulk describes a relaxed structure of Sc2TaIn. The functional is PBE-GGA.

a = 3.1821 Å, b = 3.1821 Å, c = 29.8341 Å
α = 90.00°, β = 90.00°, γ = 120.00°
Last column: nearest neighbours and their distance in Å.
Element x y z (fractional)
Sc: 0.0000 0.0000 0.2467  3 Ta 3.01, 3 In 3.17, 6 Sc 3.18
Sc: 0.0000 0.0000 0.7533  3 Ta 3.01, 3 In 3.17, 6 Sc 3.18
Sc: 0.3333 0.6667 0.4199  3 Ta 3.01, 3 In 3.17, 6 Sc 3.18
Sc: 0.3333 0.6667 0.9134  3 Ta 3.01, 3 In 3.17, 6 Sc 3.18
Sc: 0.6667 0.3333 0.0866  3 Ta 3.01, 3 In 3.17, 6 Sc 3.18
Sc: 0.6667 0.3333 0.5801  3 Ta 3.01, 3 In 3.17, 6 Sc 3.18
Ta: 0.0000 0.0000 0.5000  6 Sc 3.01, 6 Ta 3.18
Ta: 0.3333 0.6667 0.1667  6 Sc 3.01, 6 Ta 3.18
Ta: 0.6667 0.3333 0.8333  6 Sc 3.01, 6 Ta 3.18
In: 0.0000 0.0000 0.0000  6 Sc 3.17, 6 In 3.18
In: 0.3333 0.6667 0.6667  6 Sc 3.17, 6 In 3.18
In: 0.6667 0.3333 0.3333  6 Sc 3.17, 6 In 3.18

Results
N(E_F) in states/eV/cell: 14.5
E_form in eV/atom: -0.0433

[2]
This record from Alexandria via LeMat-Bulk describes a relaxed structure of Sc4TaIn. The functional is PBE-GGA.

a = 5.7067 Å, b = 5.7067 Å, c = 5.7067 Å
α = 60.00°, β = 60.00°, γ = 60.00°
Last column: nearest neighbours and their distance in Å.
Element x y z (fractional)
Sc: 0.1236 0.1236 0.1236  6 Sc 2.82-2.89
Sc: 0.1236 0.1236 0.6293  6 Sc 2.82-2.89
Sc: 0.1236 0.6293 0.1236  6 Sc 2.82-2.89
Sc: 0.6293 0.1236 0.1236  6 Sc 2.82-2.89
Ta: 0.7500 0.7500 0.7500  12 Sc 3.34, 4 In 3.49
In: 0.5000 0.5000 0.5000  12 Sc 3.35, 4 Ta 3.49

Results
N(E_F) in states/eV/cell: 8.0
E_form in eV/atom: 0.3275

[3]
This record from Alexandria via LeMat-Bulk describes a relaxed structure of ScTa2TlIn. The functional is PBE-GGA.

a = 4.9047 Å, b = 4.9047 Å, c = 5.3693 Å
α = 90.00°, β = 90.00°, γ = 90.00°
Last column: nearest neighbours and their distance in Å.
Element x y z (fractional)
Sc: 0.0000 0.0000 0.0000  4 Ta 2.45, 2 Tl 2.68
Ta: 0.0000 0.5000 0.0000  2 Sc 2.45
Ta: 0.5000 0.0000 0.0000  2 Sc 2.45
Tl: 0.0000 0.0000 0.5000  2 Sc 2.68
In: 0.5000 0.5000 0.5000  4 Tl 3.47, 8 Ta 3.64

Results
N(E_F) in states/eV/cell: 5.3
E_form in eV/atom: 1.5448

[4]
This record from Alexandria via LeMat-Bulk describes a relaxed structure of Zr2ScTaIn. The functional is PBE-GGA.

a = 5.0548 Å, b = 5.0548 Å, c = 4.7734 Å
α = 90.00°, β = 90.00°, γ = 90.00°
Last column: nearest neighbours and their distance in Å.
Element x y z (fractional)
Zr: 0.0000 0.5000 0.0000  2 Sc 2.53
Zr: 0.5000 0.0000 0.0000  2 Sc 2.53
Sc: 0.0000 0.0000 0.0000  2 Ta 2.39, 4 Zr 2.53
Ta: 0.0000 0.0000 0.5000  2 Sc 2.39
In: 0.5000 0.5000 0.5000  8 Zr 3.48, 4 Ta 3.57

Results
N(E_F) in states/eV/cell: 7.4
E_form in eV/atom: 1.1949

[5]
This record from Alexandria via LeMat-Bulk describes a relaxed structure of TbSc6In. The functional is PBE-GGA.

a = 6.0667 Å, b = 10.6878 Å, c = 6.2257 Å
α = 90.00°, β = 90.88°, γ = 90.00°
Last column: nearest neighbours and their distance in Å.
Element x y z (fractional)
Tb: 0.0000 0.0000 0.0000  2 In 3.11, 6 Sc 3.14-3.22
Tb: 0.5000 0.5000 0.0000  2 In 3.11, 6 Sc 3.14-3.22
Sc: 0.0419 0.5000 0.2528  6 Sc 3.09-3.18, 1 In 3.16, 1 Tb 3.22
Sc: 0.2074 0.2270 0.2507  6 Sc 3.07-3.21, 1 Tb 3.14, 1 In 3.15
Sc: 0.2074 0.7730 0.2507  6 Sc 3.07-3.21, 1 Tb 3.14, 1 In 3.15
Sc: 0.2926 0.2730 0.7493  6 Sc 3.07-3.21, 1 Tb 3.14, 1 In 3.15
Sc: 0.2926 0.7270 0.7493  6 Sc 3.07-3.21, 1 Tb 3.14, 1 In 3.15
Sc: 0.4581 0.0000 0.7472  6 Sc 3.09-3.18, 1 In 3.16, 1 Tb 3.22
Sc: 0.5419 0.0000 0.2528  6 Sc 3.09-3.18, 1 In 3.16, 1 Tb 3.22
Sc: 0.7074 0.2730 0.2507  6 Sc 3.07-3.21, 1 Tb 3.14, 1 In 3.15
Sc: 0.7074 0.7270 0.2507  6 Sc 3.07-3.21, 1 Tb 3.14, 1 In 3.15
Sc: 0.7926 0.2270 0.7493  6 Sc 3.07-3.21, 1 Tb 3.14, 1 In 3.15
Sc: 0.7926 0.7730 0.7493  6 Sc 3.07-3.21, 1 Tb 3.14, 1 In 3.15
Sc: 0.9581 0.5000 0.7472  6 Sc 3.09-3.18, 1 In 3.16, 1 Tb 3.22
In: 0.0000 0.0000 0.5000  2 Tb 3.11, 6 Sc 3.15-3.16
In: 0.5000 0.5000 0.5000  2 Tb 3.11, 6 Sc 3.15-3.16

Results
N(E_F) in states/eV/cell: 28.5
Energy above the lowest structure with this stoichiometry in meV/atom: 171
E_form in eV/atom: 0.0780

[6]
This record from Alexandria via LeMat-Bulk describes a relaxed structure of Tb2ScIn2. The functional is PBE-GGA.

a = 4.7025 Å, b = 6.5686 Å, c = 8.9971 Å
α = 90.00°, β = 90.00°, γ = 90.00°
Last column: nearest neighbours and their distance in Å.
Element x y z (fractional)
Tb: 0.0000 0.0000 0.1972  6 In 3.28-3.29, 1 Tb 3.55, 2 Sc 3.60
Tb: 0.0000 0.0000 0.8028  6 In 3.28-3.29, 1 Tb 3.55, 2 Sc 3.60
Tb: 0.5000 0.5000 0.3028  6 In 3.28-3.29, 1 Tb 3.55, 2 Sc 3.60
Tb: 0.5000 0.5000 0.6972  6 In 3.28-3.29, 1 Tb 3.55, 2 Sc 3.60
Sc: 0.0000 0.5000 0.0000  4 In 2.97
Sc: 0.5000 0.0000 0.5000  4 In 2.97
In: 0.0000 0.2774 0.5000  1 In 2.92, 2 Sc 2.97
In: 0.0000 0.7226 0.5000  1 In 2.92, 2 Sc 2.97
In: 0.5000 0.2226 0.0000  1 In 2.92, 2 Sc 2.97
In: 0.5000 0.7774 0.0000  1 In 2.92, 2 Sc 2.97

Results
N(E_F) in states/eV/cell: 11.9
Energy above the lowest structure with this stoichiometry in meV/atom: 29
E_form in eV/atom: -0.3491

[7]
This record from Alexandria via LeMat-Bulk describes a relaxed structure of Tb3Sc4In. The functional is PBE-GGA.

a = 10.7565 Å, b = 6.7358 Å, c = 5.8692 Å
α = 90.00°, β = 90.00°, γ = 90.00°
Last column: nearest neighbours and their distance in Å.
Element x y z (fractional)
Tb: 0.0000 0.1317 0.0000  5 Sc 3.21-3.44, 4 Tb 3.31-3.40, 2 In 3.36-3.59
Tb: 0.2392 0.1240 0.3551  2 In 3.29-3.42, 4 Tb 3.31-3.40, 6 Sc 3.31-3.46
Tb: 0.2608 0.8760 0.8551  2 In 3.29-3.42, 4 Tb 3.31-3.40, 6 Sc 3.31-3.46
Tb: 0.5000 0.8683 0.5000  5 Sc 3.21-3.44, 4 Tb 3.31-3.40, 2 In 3.36-3.59
Tb: 0.7392 0.8760 0.8551  2 In 3.29-3.42, 4 Tb 3.31-3.40, 6 Sc 3.31-3.46
Tb: 0.7608 0.1240 0.3551  2 In 3.29-3.42, 4 Tb 3.31-3.40, 6 Sc 3.31-3.46
Sc: 0.0000 0.3888 0.5404  1 In 3.15, 6 Sc 3.20-3.39, 3 Tb 3.21-3.31
Sc: 0.0000 0.6220 0.0277  6 Sc 3.26-3.39, 4 Tb 3.31-3.44, 2 In 3.31-3.36
Sc: 0.2421 0.6193 0.3637  1 In 3.20, 6 Sc 3.20-3.36, 5 Tb 3.34-3.46
Sc: 0.2579 0.3807 0.8637  1 In 3.20, 6 Sc 3.20-3.36, 5 Tb 3.34-3.46
Sc: 0.5000 0.3780 0.5277  6 Sc 3.26-3.39, 4 Tb 3.31-3.44, 2 In 3.31-3.36
Sc: 0.5000 0.6112 0.0404  1 In 3.15, 6 Sc 3.20-3.39, 3 Tb 3.21-3.31
Sc: 0.7421 0.3807 0.8637  1 In 3.20, 6 Sc 3.20-3.36, 5 Tb 3.34-3.46
Sc: 0.7579 0.6193 0.3637  1 In 3.20, 6 Sc 3.20-3.36, 5 Tb 3.34-3.46
In: 0.0000 0.8566 0.5233  5 Sc 3.15-3.36, 5 Tb 3.29-3.42
In: 0.5000 0.1434 0.0233  5 Sc 3.15-3.36, 5 Tb 3.29-3.42

Results
N(E_F) in states/eV/cell: 18.5
E_form in eV/atom: -0.1048

[8]
This record from Alexandria via LeMat-Bulk describes a relaxed structure of Tb6Sc12In. The functional is PBE-GGA.

a = 8.0325 Å, b = 8.0325 Å, c = 8.0325 Å
α = 93.33°, β = 93.33°, γ = 93.33°
Last column: nearest neighbours and their distance in Å.
Element x y z (fractional)
Tb: 0.2154 0.7638 0.3833  9 Sc 3.12-3.49, 1 In 3.34, 2 Tb 3.50
Tb: 0.2362 0.6167 0.7846  9 Sc 3.12-3.49, 1 In 3.34, 2 Tb 3.50
Tb: 0.3833 0.2154 0.7638  9 Sc 3.12-3.49, 1 In 3.34, 2 Tb 3.50
Tb: 0.6167 0.7846 0.2362  9 Sc 3.12-3.49, 1 In 3.34, 2 Tb 3.50
Tb: 0.7638 0.3833 0.2154  9 Sc 3.12-3.49, 1 In 3.34, 2 Tb 3.50
Tb: 0.7846 0.2362 0.6167  9 Sc 3.12-3.49, 1 In 3.34, 2 Tb 3.50
Sc: 0.0307 0.9662 0.7146  3 Sc 3.02-3.18, 2 Tb 3.12-3.36
Sc: 0.0338 0.2854 0.9693  3 Sc 3.02-3.18, 2 Tb 3.12-3.36
Sc: 0.1313 0.3581 0.4420  4 Sc 3.02-3.32, 1 In 3.11, 2 Tb 3.31-3.36
Sc: 0.2854 0.9693 0.0338  3 Sc 3.02-3.18, 2 Tb 3.12-3.36
Sc: 0.3581 0.4420 0.1313  4 Sc 3.02-3.32, 1 In 3.11, 2 Tb 3.31-3.36
Sc: 0.4420 0.1313 0.3581  4 Sc 3.02-3.32, 1 In 3.11, 2 Tb 3.31-3.36
Sc: 0.5580 0.8687 0.6419  4 Sc 3.02-3.32, 1 In 3.11, 2 Tb 3.31-3.36
Sc: 0.6419 0.5580 0.8687  4 Sc 3.02-3.32, 1 In 3.11, 2 Tb 3.31-3.36
Sc: 0.7146 0.0307 0.9662  3 Sc 3.02-3.18, 2 Tb 3.12-3.36
Sc: 0.8687 0.6419 0.5580  4 Sc 3.02-3.32, 1 In 3.11, 2 Tb 3.31-3.36
Sc: 0.9662 0.7146 0.0307  3 Sc 3.02-3.18, 2 Tb 3.12-3.36
Sc: 0.9693 0.0338 0.2854  3 Sc 3.02-3.18, 2 Tb 3.12-3.36
In: 0.5000 0.5000 0.5000  6 Sc 3.11, 6 Tb 3.34

Results
N(E_F) in states/eV/cell: 36.0
E_form in eV/atom: 0.0967